1.
Material: Na2Hf2O5
Method: DFT, GGA-PBE
State: optimized geometry

Unit cell a=7.9275 b=3.9582 c=3.9582 alpha=90.00 beta=90.00 gamma=90.00
Closest atoms and distances in Å follow each position.
Fractional coordinates of all 9 atoms:
Hf  0.2507  0.5000  0.5000  5 O 1.98-2.02
Hf  0.7493  0.5000  0.5000  5 O 1.98-2.02
Na  0.0000  0.0000  0.0000  8 O 2.53
Na  0.5000  0.0000  0.0000  12 O 2.80-3.10
O  0.1983  0.5000  0.0000  2 Hf 2.02
O  0.8017  0.5000  0.0000  2 Hf 2.02
O  0.1983  0.0000  0.5000  2 Hf 2.02
O  0.8017  0.0000  0.5000  2 Hf 2.02
O  0.5000  0.5000  0.5000  2 Hf 1.98

Summary:
ρ   6.46 Mg/m³
Spin magnetization   0.001 μB/f.u.
Calculated volume   13.8 Å³/atom
Crystal system   tetragonal
E_tot   -72.3 eV/cell



2.
Material: NaHfO3
Method: DFT, GGA-PBE
State: optimized geometry

Unit cell a=5.6110 b=5.6110 c=5.9331 alpha=61.78 beta=61.78 gamma=60.00
Closest atoms and distances in Å follow each position.
Fractional coordinates of all 10 atoms:
Hf  0.8437  0.8437  0.4688  6 O 2.04-2.09
Hf  0.1563  0.1563  0.5312  6 O 2.04-2.09
Na  0.6329  0.6329  0.1014  6 O 2.37-2.50
Na  0.3671  0.3671  0.8986  6 O 2.37-2.50
O  0.5602  0.1901  0.2740  2 Hf 2.04-2.09
O  0.1901  0.9757  0.2740  2 Hf 2.04-2.09
O  0.9757  0.5602  0.2740  2 Hf 2.04-2.09
O  0.0243  0.4398  0.7260  2 Hf 2.04-2.09
O  0.8099  0.0243  0.7260  2 Hf 2.04-2.09
O  0.4398  0.8099  0.7260  2 Hf 2.04-2.09

Summary:
ρ   6.11 Mg/m³
Spin magnetization   1.000 μB/f.u.
Calculated volume   13.6 Å³/atom
Crystal system   trigonal
E_tot   -76.4 eV/cell



3.
Material: Na2Hf2O5
Method: DFT, GGA-PBE
State: optimized geometry

Unit cell a=6.6239 b=3.8466 c=3.8466 alpha=90.00 beta=90.00 gamma=90.00
Closest atoms and distances in Å follow each position.
Fractional coordinates of all 9 atoms:
Hf  0.0000  0.0000  0.0000  8 O 2.30
Hf  0.5000  0.0000  0.0000  12 O 2.72-2.82
Na  0.1996  0.5000  0.5000  5 O 1.92-1.99
Na  0.8004  0.5000  0.5000  5 O 1.92-1.99
O  0.1896  0.5000  0.0000  2 Na 1.92
O  0.8104  0.5000  0.0000  2 Na 1.92
O  0.1896  0.0000  0.5000  2 Na 1.92
O  0.8104  0.0000  0.5000  2 Na 1.92
O  0.5000  0.5000  0.5000  2 Na 1.99

Summary:
ρ   8.18 Mg/m³
Spin magnetization   0.001 μB/f.u.
Calculated volume   10.9 Å³/atom
Crystal system   tetragonal
E_tot   -59.8 eV/cell



4.
Material: Na2HfOsO6
Method: DFT, GGA-PBE
State: optimized geometry

Unit cell a=5.5759 b=5.5759 c=5.5759 alpha=60.00 beta=60.00 gamma=60.00
Closest atoms and distances in Å follow each position.
Fractional coordinates of all 10 atoms:
Hf  0.0000  0.0000  0.0000  6 O 2.04
Na  0.2500  0.2500  0.2500  12 O 2.79
Na  0.7500  0.7500  0.7500  12 O 2.79
O  0.7415  0.7415  0.2585  1 Os 1.90, 1 Hf 2.04
O  0.7415  0.2585  0.2585  1 Os 1.90, 1 Hf 2.04
O  0.2585  0.7415  0.2585  1 Os 1.90, 1 Hf 2.04
O  0.2585  0.7415  0.7415  1 Os 1.90, 1 Hf 2.04
O  0.7415  0.2585  0.7415  1 Os 1.90, 1 Hf 2.04
O  0.2585  0.2585  0.7415  1 Os 1.90, 1 Hf 2.04
Os  0.5000  0.5000  0.5000  6 O 1.90

Summary:
ρ   6.92 Mg/m³
Spin magnetization   0.438 μB/f.u.
Calculated volume   12.3 Å³/atom
Crystal system   cubic
E_tot   -73.6 eV/cell



5.
Material: NaHfPO
Method: DFT, GGA-PBE
State: optimized geometry

Unit cell a=3.6197 b=3.6197 c=9.3017 alpha=90.00 beta=90.00 gamma=90.00
Closest atoms and distances in Å follow each position.
Fractional coordinates of all 8 atoms:
Hf  0.2500  0.2500  0.1293  4 O 2.17
Hf  0.7500  0.7500  0.8707  4 O 2.17
Na  0.7500  0.2500  0.5000  4 Na 2.56, 4 P 2.78
Na  0.2500  0.7500  0.5000  4 Na 2.56, 4 P 2.78
O  0.7500  0.2500  0.0000  4 Hf 2.17
O  0.2500  0.7500  0.0000  4 Hf 2.17
P  0.7500  0.7500  0.2725  4 Na 2.78, 4 Hf 2.89, 4 O 3.11
P  0.2500  0.2500  0.7275  4 Na 2.78, 4 Hf 2.89, 4 O 3.11

Summary:
ρ   6.77 Mg/m³
Spin magnetization   0.000 μB/f.u.
Calculated volume   15.2 Å³/atom
Crystal system   tetragonal
E_tot   -55.4 eV/cell



6.
Material: NaHfPO
Method: DFT, GGA-PBE
State: optimized geometry

Unit cell a=3.9185 b=7.1958 c=6.1092 alpha=90.00 beta=90.00 gamma=90.00
Closest atoms and distances in Å follow each position.
Fractional coordinates of all 8 atoms:
Hf  0.5000  0.3891  0.0396  2 O 1.99-2.00
Hf  0.5000  0.6109  0.5396  2 O 1.99-2.00
Na  0.0000  0.1801  0.4413  2 O 2.46
Na  0.0000  0.8199  0.9413  2 O 2.46
O  0.5000  0.3771  0.3666  2 Hf 1.99-2.00
O  0.5000  0.6229  0.8666  2 Hf 1.99-2.00
P  0.0000  0.7865  0.4065  2 Hf 2.47
P  0.0000  0.2135  0.9065  2 Hf 2.47

Summary:
ρ   4.79 Mg/m³
Spin magnetization   0.000 μB/f.u.
Calculated volume   21.5 Å³/atom
Crystal system   orthorhombic
E_tot   -56.3 eV/cell